1.
# ScReCl2 (GGA-PBE, optimized geometry)
data_ScReCl2
_chemical_formula_sum 'Sc2 Re2 Cl4'
_symmetry_space_group_name_H-M 'C 1 2/m 1'
_symmetry_Int_Tables_number 12
_cell_length_a 13.696
_cell_length_b 3.150
_cell_length_c 4.557
_cell_angle_alpha 90.00
_cell_angle_beta 93.12
_cell_angle_gamma 90.00
loop_
_symmetry_equiv_pos_as_xyz
'x,y,z'
'-x,-y,-z'
'-x,y,-z'
'x,-y,z'
'x+1/2,y+1/2,z'
'-x+1/2,-y+1/2,-z'
'-x+1/2,y+1/2,-z'
'x+1/2,-y+1/2,z'
loop_
_atom_site_label
_atom_site_type_symbol
_atom_site_fract_x
_atom_site_fract_y
_atom_site_fract_z
_atom_site_occupancy
Sc1 Sc 0.000 0.000 0.000 1
Re1 Re 0.000 0.500 0.500 1
Cl1 Cl 0.141 0.500 0.222 1
# magnetic moment	1.37	μB/cell
# E above lowest polymorph	114	meV per atom
# formation energy (no corrections)	-0.4077	eV per atom
# raw total energy	-48.2	eV/cell

***

2.
# Sc2ReCl (GGA-PBE, optimized geometry)
data_Sc2ReCl
_chemical_formula_sum 'Sc4 Re2 Cl2'
_symmetry_space_group_name_H-M 'C m m 2'
_symmetry_Int_Tables_number 35
_cell_length_a 3.410
_cell_length_b 4.961
_cell_length_c 10.278
_cell_angle_alpha 90.00
_cell_angle_beta 90.00
_cell_angle_gamma 90.00
loop_
_symmetry_equiv_pos_as_xyz
'x,y,z'
'-x,-y,z'
'-x,y,z'
'x,-y,z'
'x+1/2,y+1/2,z'
'-x+1/2,-y+1/2,z'
'-x+1/2,y+1/2,z'
'x+1/2,-y+1/2,z'
loop_
_atom_site_label
_atom_site_type_symbol
_atom_site_fract_x
_atom_site_fract_y
_atom_site_fract_z
_atom_site_occupancy
Sc1 Sc 0.000 0.000 0.000 1
Sc2 Sc 0.000 0.500 0.263 1
Re1 Re 0.000 0.000 0.458 1
Cl1 Cl 0.000 0.500 0.825 1
# magnetic moment	0.00	μB/cell
# E above lowest polymorph	714	meV per atom
# formation energy (no corrections)	-0.0045	eV per atom
# raw total energy	-54.0	eV/cell